No. 1
CdH | GGA-PBE | optimized geometry

The calculation puts the density of states at the Fermi level at 3.2 states/eV per cell. The value obtained for the distance to the lowest polymorph of the same formula is 26 kJ/mol of formula units. The mass density is 4.65 Mg/m³.

The structure belongs to space group I4/m (No. 87); the cell edges are 10.213, 10.213 and 3.107 Å and the angles 90.00°, 90.00° and 90.00°. Symmetry generates all atoms from Cd at (0.160, 0.670, 0.000) and H at (0.016, 0.673, 0.500).

***

No. 2
NbMoSe | GGA-PBE | optimized geometry

The calculation puts the density of states at the Fermi level at 3.2 states/eV per cell. The value obtained for the distance to the lowest polymorph of the same formula is 41 kJ/mol of formula units. The mass density is 8.22 Mg/m³. For the raw formation energy, the calculation gives -169 meV/atom.

The structure belongs to space group P-1 (No. 2); the cell edges are 3.276, 4.843 and 7.017 Å and the angles 84.81°, 77.53° and 89.22°. Symmetry generates all atoms from Nb at (0.163, 0.203, 0.278), Mo at (0.388, 0.277, 0.600) and Se at (0.224, 0.735, 0.101).

***

No. 3
Nd2SmSi2Ni2 | GGA-PBE | optimized geometry

The calculation puts the density of states at the Fermi level at 19.6 states/eV per cell. The mass density is 6.25 Mg/m³. For the raw formation energy, the calculation gives -613 meV/atom.

The structure belongs to space group R-3m (No. 166, hexagonal axes); the cell edges are 4.0580, 4.0580 and 34.2158 Å and the angles 90.00°, 90.00° and 120.00°. Symmetry generates all atoms from Nd at (0.0000, 0.0000, 0.1150), Sm at (0.0000, 0.0000, 0.0000), Si at (0.0000, 0.0000, 0.2738) and Ni at (0.0000, 0.0000, 0.3929).

***

No. 4
Sb2Pd2Pb | GGA-PBE | optimized geometry

The calculation puts the density of states at the Fermi level at 4.0 states/eV per cell. The value obtained for the distance to the lowest polymorph of the same formula is 52 kJ/mol of formula units. The mass density is 9.04 Mg/m³. For the raw formation energy, the calculation gives -145 meV/atom.

The structure belongs to space group I4/mmm (No. 139); the cell edges are 4.804, 4.804 and 10.561 Å and the angles 90.00°, 90.00° and 90.00°. Symmetry generates all atoms from Sb at (0.000, 0.500, 0.250), Pd at (0.000, 0.000, 0.130) and Pb at (0.000, 0.000, 0.500).